## LuAl2B (GGA-PBE)

Data for a relaxed structure of LuAl2B.

The total energy comes out at -68.453 eV/cell.

a b c (Å): 6.4088 6.4088 6.4088
angles (deg): 90.00 90.00 90.00
Closest atoms and distances in Å follow each position.
Space group F-43m (No. 216)
Asymmetric unit:
Lu  0.0000  0.0000  0.0000  4 B 2.78, 4 Al 2.78
Al  0.0000  0.0000  0.5000  4 Al 2.78, 4 B 2.78
Al  0.2500  0.2500  0.2500  4 Lu 2.78, 4 Al 2.78
B  0.2500  0.2500  0.7500  4 Al 2.78, 4 Lu 2.78


## MgAlNiB (GGA-PBE)

Data for a relaxed structure of MgAlNiB.

The calculation puts the energy relative to the lowest polymorph listed for this composition at 0.0 kJ/mol of atoms.

a b c (Å): 5.7660 5.7660 5.7660
angles (deg): 90.00 90.00 90.00
Closest atoms and distances in Å follow each position.
Space group F-43m (No. 216)
Asymmetric unit:
Mg  0.0000  0.0000  0.0000  4 B 2.50, 4 Ni 2.50
Al  0.0000  0.0000  0.5000  4 Ni 2.50, 4 B 2.50
Ni  0.2500  0.2500  0.2500  4 Mg 2.50, 4 Al 2.50
B  0.2500  0.2500  0.7500  4 Mg 2.50, 4 Al 2.50


## MgAlNiB (GGA-PBE)

Data for a relaxed structure of MgAlNiB.

The calculation puts the energy relative to the lowest polymorph listed for this composition at 23.0 kJ/mol of atoms.

a b c (Å): 5.7585 5.7585 5.7585
angles (deg): 90.00 90.00 90.00
Closest atoms and distances in Å follow each position.
Space group F-43m (No. 216)
Asymmetric unit:
Mg  0.0000  0.0000  0.0000  4 Ni 2.49, 4 Al 2.49
Al  0.2500  0.2500  0.7500  4 Mg 2.49, 4 B 2.49
Ni  0.2500  0.2500  0.2500  4 Mg 2.49, 4 B 2.49
B  0.0000  0.0000  0.5000  4 Ni 2.49, 4 Al 2.49


## MgAlNiB (GGA-PBE)

Data for a relaxed structure of MgAlNiB.

The calculation puts the energy relative to the lowest polymorph listed for this composition at 12.4 kJ/mol of atoms.

a b c (Å): 5.7680 5.7680 5.7680
angles (deg): 90.00 90.00 90.00
Closest atoms and distances in Å follow each position.
Space group F-43m (No. 216)
Asymmetric unit:
Mg  0.0000  0.0000  0.0000  4 Al 2.50, 4 B 2.50
Al  0.2500  0.2500  0.2500  4 Ni 2.50, 4 Mg 2.50
Ni  0.0000  0.0000  0.5000  4 B 2.50, 4 Al 2.50
B  0.2500  0.2500  0.7500  4 Ni 2.50, 4 Mg 2.50


## AlB4Mo (GGA-PBE)

Data for a relaxed structure of AlB4Mo.

The calculation puts the energy relative to the lowest polymorph listed for this composition at 0.0 kJ/mol of atoms.

a b c (Å): 2.9832 5.1649 6.7302
angles (deg): 90.00 90.00 90.00
Closest atoms and distances in Å follow each position.
Space group Immm (No. 71)
Asymmetric unit:
Al  0.0000  0.0000  0.0000  12 B 2.38-2.44
B  0.0000  0.3360  0.2557  3 B 1.69-1.74
Mo  0.0000  0.0000  0.5000  12 B 2.39-2.43


## AlB3Mo4 (GGA-PBE)

Data for a relaxed structure of AlB3Mo4.

The total energy comes out at -139.060 eV/cell.

a b c (Å): 3.1190 3.1190 23.6822
angles (deg): 90.00 90.00 120.00
Closest atoms and distances in Å follow each position.
Space group P6_3/mmc (No. 194)
Asymmetric unit:
Al  0.3333  0.6667  0.2500  6 Mo 2.78
B  0.0000  0.0000  0.0000  6 Mo 2.24
B  0.3333  0.6667  0.6112  6 Mo 2.15-2.22
Mo  0.0000  0.0000  0.1607  3 B 2.15
Mo  0.3333  0.6667  0.0562  6 B 2.22-2.24


## Al3BMo (GGA-PBE)

Data for a relaxed structure of Al3BMo.

The total energy comes out at -107.389 eV/cell.

a b c (Å): 4.4503 11.8307 5.4848
angles (deg): 90.00 90.00 90.00
Closest atoms and distances in Å follow each position.
Space group Cmcm (No. 63)
Asymmetric unit:
Al  0.0000  0.0892  0.2500  2 Mo 2.51, 3 B 2.70-2.81
Al  0.0000  0.3116  0.5073  3 B 2.44-2.70, 2 Mo 2.54-2.70, 3 Al 2.66
B  0.0000  0.1390  0.7500  7 Al 2.44-2.70, 2 Mo 2.70
Mo  0.0000  0.4903  0.2500  6 Al 2.51-2.70, 2 B 2.70, 2 Mo 2.75


## AlB2Mo3 (GGA-PBE)

Data for a relaxed structure of AlB2Mo3.

The total energy comes out at -102.828 eV/cell.

a b c (Å): 3.0948 3.0948 18.6163
angles (deg): 90.00 90.00 120.00
Closest atoms and distances in Å follow each position.
Space group P6_3/mmc (No. 194)
Asymmetric unit:
Al  0.0000  0.0000  0.2500  6 Mo 2.77, 6 Al 3.09
B  0.3333  0.6667  0.0714  6 Mo 2.16-2.23
Mo  0.0000  0.0000  0.0000  6 B 2.23
Mo  0.3333  0.6667  0.6366  3 B 2.16


## AlB4Mo (GGA-PBE)

Data for a relaxed structure of AlB4Mo.

The calculation puts the energy relative to the lowest polymorph listed for this composition at 20.0 kJ/mol of atoms.

a b c (Å): 6.0995 10.6003 3.5454
angles (deg): 90.00 90.00 90.00
Closest atoms and distances in Å follow each position.
Space group Pbam (No. 55)
Asymmetric unit:
Al  0.0862  0.1429  0.0000  8 B 2.39-2.59
B  0.0284  0.2909  0.5000  3 B 1.70-1.81
B  0.1052  0.5615  0.5000  3 B 1.76-1.83
B  0.1342  0.9816  0.5000  3 B 1.68-1.80
B  0.1786  0.8171  0.5000  3 B 1.70-1.81
Mo  0.1485  0.4168  0.0000  10 B 2.32-2.36, 1 Mo 2.53


## AlB4Mo (GGA-PBE)

Data for a relaxed structure of AlB4Mo.

The calculation puts the energy relative to the lowest polymorph listed for this composition at 3.4 kJ/mol of atoms.

a b c (Å): 2.9798 2.9798 6.7635
angles (deg): 90.00 90.00 120.00
Closest atoms and distances in Å follow each position.
Space group P6/mmm (No. 191)
Asymmetric unit:
Al  0.0000  0.0000  0.0000  12 B 2.37
B  0.3333  0.6667  0.2414  3 B 1.72
Mo  0.0000  0.0000  0.5000  12 B 2.45


## Nb4AlB3 (GGA-PBE)

Data for a relaxed structure of Nb4AlB3.

The total energy comes out at -136.421 eV/cell.

a b c (Å): 3.2689 3.2689 24.0987
angles (deg): 90.00 90.00 120.00
Closest atoms and distances in Å follow each position.
Space group P6_3/mmc (No. 194)
Asymmetric unit:
Nb  0.0000  0.0000  0.1612  3 B 2.24
Nb  0.3333  0.6667  0.0538  6 B 2.29-2.34
Al  0.3333  0.6667  0.2500  6 Nb 2.85
B  0.0000  0.0000  0.0000  6 Nb 2.29
B  0.3333  0.6667  0.6114  6 Nb 2.24-2.34


## NbAlB (GGA-PBE)

Data for a relaxed structure of NbAlB.

The calculation puts the energy relative to the lowest polymorph listed for this composition at 10.4 kJ/mol of atoms.

a b c (Å): 5.6412 5.6412 5.6412
angles (deg): 90.00 90.00 90.00
Closest atoms and distances in Å follow each position.
Space group F-43m (No. 216)
Asymmetric unit:
Nb  0.0000  0.0000  0.0000  4 Al 2.44
Al  0.2500  0.2500  0.7500  4 Nb 2.44, 4 B 2.44
B  0.0000  0.0000  0.5000  4 Al 2.44